VASP calculation (PBE-GGA) on crystalline BaSi2Br at its relaxed geometry.

Unit cell a=3.6241 b=3.6241 c=28.3091 alpha=90.00 beta=90.00 gamma=120.00
Space group R-3m (No. 166, hexagonal axes)
Symmetry-distinct sites (fractional):
Ba  0.0000  0.0000  0.0000 [3 per cell]
Si  0.0000  0.0000  0.2386 [6 per cell]
Br  0.0000  0.0000  0.5000 [3 per cell]

Results
uncorrected formation energy	646.3	meV per atom
calculated volume	26.8	Å³/atom
energy above the lowest structure with this stoichiometry	1235	meV per atom

VASP calculation (PBE-GGA) on crystalline CuTc2W at its relaxed geometry.

Unit cell a=2.7481 b=2.7481 c=7.7153 alpha=90.00 beta=90.00 gamma=90.00
Space group P4/mmm (No. 123)
Symmetry-distinct sites (fractional):
Cu  0.0000  0.0000  0.0000 [1 per cell]
Tc  0.5000  0.5000  0.2424 [2 per cell]
W  0.0000  0.0000  0.5000 [1 per cell]

Results
calculated volume	14.6	Å³/atom
E_form	0.3020	eV/atom
energy above the lowest structure with this stoichiometry	145	meV per atom

VASP calculation (PBE-GGA) on crystalline NaCr3I at its relaxed geometry.

Unit cell a=5.3918 b=5.3918 c=5.3918 alpha=90.00 beta=90.00 gamma=90.00
Space group Pm-3m (No. 221)
Symmetry-distinct sites (fractional):
Na  0.0000  0.0000  0.0000 [1 per cell]
Cr  0.0000  0.5000  0.5000 [3 per cell]
I  0.5000  0.5000  0.5000 [1 per cell]

Results
uncorrected formation energy	1409.3	meV per atom
calculated volume	31.4	Å³/atom
energy above the lowest structure with this stoichiometry	0	meV per atom

VASP calculation (PBE-GGA) on crystalline Ga6RuRh5 at its relaxed geometry.

Unit cell a=7.4297 b=12.8624 c=4.2878 alpha=90.00 beta=125.14 gamma=90.00
Space group C2/m (No. 12)
Symmetry-distinct sites (fractional):
Ga  0.2462  0.0000  0.2462 [4 per cell]
Ga  0.2481  0.1653  0.7481 [8 per cell]
Ru  0.0000  0.0000  0.5000 [2 per cell]
Rh  0.0000  0.1699  0.0000 [4 per cell]
Rh  0.0000  0.3336  0.5000 [4 per cell]
Rh  0.0000  0.5000  0.0000 [2 per cell]

Results
calculated volume	14.0	Å³/atom
E_form	-0.6503	eV/atom